Record 1
The following is a DFT calculation (PBE) of a relaxed BiSb2IrI crystal.

Total magnetization ... 2.7 μB/f.u.
Energy relative to the elements, uncorrected ... 1745 meV per atom
Total DFT energy (no corrections) ... -0.1015 Ha/atom
Offset from the most stable computed form ... 1.306 eV/atom

abc: 5.8251 5.8251 5.9311
angles: 90.00 90.00 90.00
Space group P4/mmm (No. 123)
Unique sites:
Bi 0.0000 0.0000 0.0000 [1 per cell]
Sb 0.0000 0.5000 0.0000 [2 per cell]
Ir 0.5000 0.5000 0.5000 [1 per cell]
I 0.0000 0.0000 0.5000 [1 per cell]

***

Record 2
The following is a DFT calculation (PBE) of a relaxed SmTcO4 crystal.

Total magnetization ... 1.0 μB/f.u.
Energy relative to the elements, uncorrected ... -2258 meV per atom
Total DFT energy (no corrections) ... -0.2969 Ha/atom
Offset from the most stable computed form ... 0.000 eV/atom

abc: 7.6656 5.4272 7.5741
angles: 90.00 100.54 90.00
Space group P2_1/c (No. 14)
Unique sites:
Sm 0.1514 0.2145 0.3986 [4 per cell]
Tc 0.3371 0.7308 0.2041 [4 per cell]
O 0.1139 0.5149 0.1733 [4 per cell]
O 0.1775 0.0007 0.1273 [4 per cell]
O 0.3305 0.6555 0.9475 [4 per cell]
O 0.4474 0.0864 0.7925 [4 per cell]

***

Record 3
The following is a DFT calculation (PBE) of a relaxed LiErSi2Au2 crystal.

Total magnetization ... 0.0 μB/f.u.
Energy relative to the elements, uncorrected ... -583 meV per atom
Total DFT energy (no corrections) ... -0.1677 Ha/atom

abc: 4.3077 4.3077 6.6020
angles: 90.00 90.00 120.00
Space group P-3m1 (No. 164)
Unique sites:
Li 0.0000 0.0000 0.0000 [1 per cell]
Er 0.0000 0.0000 0.5000 [1 per cell]
Si 0.3333 0.6667 0.2220 [2 per cell]
Au 0.3333 0.6667 0.7975 [2 per cell]

***

Record 4
The following is a DFT calculation (PBE) of a relaxed LiSb2 crystal.

Total magnetization ... 0.0 μB/f.u.
Energy relative to the elements, uncorrected ... -202 meV per atom
Total DFT energy (no corrections) ... -0.1319 Ha/atom
Offset from the most stable computed form ... 0.040 eV/atom

abc: 12.6927 4.2710 6.0528
angles: 90.00 97.80 90.00
Space group C2/m (No. 12)
Unique sites:
Li 0.1794 0.0000 0.3318 [4 per cell]
Sb 0.0136 0.5000 0.7576 [4 per cell]
Sb 0.1712 0.0000 0.8311 [4 per cell]

***

Record 5
The following is a DFT calculation (PBE) of a relaxed ZnTc2H crystal.

Total magnetization ... 0.0 μB/f.u.
Total DFT energy (no corrections) ... -0.2211 Ha/atom
Offset from the most stable computed form ... 0.314 eV/atom

abc: 5.8472 5.8472 5.5526
angles: 90.00 90.00 90.00
Space group I-42d (No. 122)
Unique sites:
Zn 0.0000 0.0000 0.0000 [4 per cell]
Tc 0.1420 0.2500 0.6250 [8 per cell]
H 0.0000 0.0000 0.5000 [4 per cell]

***

Record 6
The following is a DFT calculation (PBE) of a relaxed Mg2CBr crystal.

Total magnetization ... 0.9 μB/f.u.
Energy relative to the elements, uncorrected ... 812 meV per atom
Total DFT energy (no corrections) ... -0.0996 Ha/atom

abc: 6.4389 6.4389 6.4389
angles: 90.00 90.00 90.00
Space group Fm-3m (No. 225)
Unique sites:
Mg 0.2500 0.2500 0.2500 [8 per cell]
C 0.0000 0.0000 0.0000 [4 per cell]
Br 0.0000 0.0000 0.5000 [4 per cell]

***

Record 7
The following is a DFT calculation (PBE) of a relaxed Pt2RhCl crystal.

Total magnetization ... 0.0 μB/f.u.
Energy relative to the elements, uncorrected ... 618 meV per atom
Total DFT energy (no corrections) ... -0.1728 Ha/atom
Offset from the most stable computed form ... 0.419 eV/atom

abc: 7.1142 7.1142 5.3120
angles: 90.00 90.00 90.00
Space group I-42d (No. 122)
Unique sites:
Pt 0.2409 0.7500 0.1250 [8 per cell]
Rh 0.0000 0.0000 0.5000 [4 per cell]
Cl 0.0000 0.0000 0.0000 [4 per cell]

***

Record 8
The following is a DFT calculation (PBE) of a relaxed AlFePt2 crystal.

Total magnetization ... 2.8 μB/f.u.
Total DFT energy (no corrections) ... -0.2374 Ha/atom
ΔE_f ... -1.5 eV/f.u.

abc: 6.1607 6.1607 6.1607
angles: 90.00 90.00 90.00
Space group F-43m (No. 216)
Unique sites:
Al 0.0000 0.0000 0.0000 [4 per cell]
Fe 0.2500 0.2500 0.2500 [4 per cell]
Pt 0.0000 0.0000 0.5000 [4 per cell]
Pt 0.2500 0.2500 0.7500 [4 per cell]

***

Record 9
The following is a DFT calculation (PBE) of a relaxed TaTl2ReOs crystal.

Total magnetization ... 2.6 μB/f.u.
Total DFT energy (no corrections) ... -0.2218 Ha/atom
ΔE_f ... 10.1 eV/f.u.

abc: 5.1788 5.1788 4.8710
angles: 90.00 90.00 90.00
Space group P4/mmm (No. 123)
Unique sites:
Ta 0.0000 0.0000 0.0000 [1 per cell]
Tl 0.0000 0.5000 0.5000 [2 per cell]
Re 0.0000 0.0000 0.5000 [1 per cell]
Os 0.5000 0.5000 0.0000 [1 per cell]

***

Record 10
The following is a DFT calculation (PBE) of a relaxed La3TaAu crystal.

Total magnetization ... 0.0 μB/f.u.
Total DFT energy (no corrections) ... -0.2051 Ha/atom
Offset from the most stable computed form ... 0.000 eV/atom
ΔE_f ... 2.0 eV/f.u.

abc: 5.5787 5.5787 5.5787
angles: 90.00 90.00 90.00
Space group Pm-3m (No. 221)
Unique sites:
La 0.0000 0.0000 0.5000 [3 per cell]
Ta 0.0000 0.0000 0.0000 [1 per cell]
Au 0.5000 0.5000 0.5000 [1 per cell]

***

Record 11
The following is a DFT calculation (PBE) of a relaxed KFeNi2 crystal.

Total magnetization ... 3.6 μB/f.u.
Total DFT energy (no corrections) ... -0.1698 Ha/atom
Offset from the most stable computed form ... 0.220 eV/atom
ΔE_f ... 2.6 eV/f.u.

abc: 2.7253 2.7253 28.1001
angles: 90.00 90.00 120.00
Space group R-3m (No. 166, hexagonal axes)
Unique sites:
K 0.0000 0.0000 0.0000 [3 per cell]
Fe 0.0000 0.0000 0.5000 [3 per cell]
Ni 0.0000 0.0000 0.2348 [6 per cell]

***

Record 12
The following is a DFT calculation (PBE) of a relaxed LaSeN2O crystal.

Total magnetization ... 0.0 μB/f.u.
Energy relative to the elements, uncorrected ... -392 meV per atom
Total DFT energy (no corrections) ... -0.2351 Ha/atom

abc: 3.9511 3.9511 4.0735
angles: 90.00 90.00 90.00
Space group P4/mmm (No. 123)
Unique sites:
La 0.0000 0.0000 0.0000 [1 per cell]
Se 0.5000 0.5000 0.5000 [1 per cell]
N 0.0000 0.5000 0.5000 [2 per cell]
O 0.5000 0.5000 0.0000 [1 per cell]